1 | A relaxed structure of K2Rb2Au. Source: Alexandria via LeMat-Bulk, functional PBE-GGA.

Calculated values
- total magnetic moment (Bohr magnetons per cell) = 0.00
- N(E_F) (states/eV per cell) = 4.5

Cell: 6.6745 6.9314 6.9314 Å, 90.00 90.00 90.00°
Fractional coordinates of all 5 atoms:
Au (0.0000, 0.0000, 0.0000)
Rb (0.0000, 0.5000, 0.0000)
K (0.5000, 0.5000, 0.5000)
Rb (0.0000, 0.0000, 0.5000)
K (0.5000, 0.0000, 0.0000)



2 | A relaxed structure of K2Rb2Au. Source: Alexandria via LeMat-Bulk, functional PBE-GGA.

Calculated values
- total magnetic moment (Bohr magnetons per cell) = 0.00
- N(E_F) (states/eV per cell) = 12.2

Cell: 9.1615 9.1615 7.6444 Å, 90.00 90.00 90.00°
Fractional coordinates of all 10 atoms:
Au (0.0000, 0.0000, 0.0000)
K (0.8245, 0.3245, 0.5000)
Rb (0.8307, 0.6693, 0.0000)
K (0.6755, 0.8245, 0.5000)
Au (0.5000, 0.5000, 0.0000)
Rb (0.6693, 0.1693, 0.0000)
Rb (0.3307, 0.8307, 0.0000)
K (0.3245, 0.1755, 0.5000)
K (0.1755, 0.6755, 0.5000)
Rb (0.1693, 0.3307, 0.0000)



3 | A relaxed structure of K2Rb2Au. Source: Alexandria via LeMat-Bulk, functional PBE-GGA.

Calculated values
- total magnetic moment (Bohr magnetons per cell) = 0.00
- N(E_F) (states/eV per cell) = 9.4

Cell: 8.9940 8.9940 7.4965 Å, 90.00 90.00 90.00°
Fractional coordinates of all 10 atoms:
Rb (0.8163, 0.3163, 0.5000)
Au (0.5000, 0.5000, 0.0000)
K (0.8306, 0.6694, 0.0000)
Rb (0.3163, 0.1837, 0.5000)
Au (0.0000, 0.0000, 0.0000)
K (0.3306, 0.8306, 0.0000)
K (0.1694, 0.3306, 0.0000)
Rb (0.1837, 0.6837, 0.5000)
Rb (0.6837, 0.8163, 0.5000)
K (0.6694, 0.1694, 0.0000)



4 | A relaxed structure of K2Rb2Au. Source: Alexandria via LeMat-Bulk, functional PBE-GGA.

Calculated values
- total magnetic moment (Bohr magnetons per cell) = 0.00
- N(E_F) (states/eV per cell) = 7.7

Cell: 9.3127 8.9387 8.9387 Å, 115.96 103.66 103.66°
Fractional coordinates of all 10 atoms:
K (0.1245, 0.7540, 0.7540)
Rb (0.7661, 0.7717, 0.3161)
Rb (0.2339, 0.2283, 0.6839)
K (0.8755, 0.2460, 0.2460)
Rb (0.7661, 0.3161, 0.7717)
Rb (0.2339, 0.6839, 0.2283)
Au (0.0000, 0.0980, 0.9020)
K (0.6396, 0.7718, 0.7718)
K (0.3604, 0.2282, 0.2282)
Au (0.0000, 0.9020, 0.0980)



Quick look at relative energies in kJ/mol of atoms: 1 0.9; 2 11.1; 3 8.7; 4 0.0.